Material: CeScN2
Method: DFT, PBE
State: optimized geometry

raw formation energy: -6.10 eV/f.u.
symmetry: P6_3/mmc

Lattice parameters (Å, degrees): 3.367 3.367 11.283 90.00 90.00 120.00
Positions (direct):
Ce: 0.000 0.000 0.000
Ce: 0.000 0.000 0.500
N: 0.667 0.333 0.631
N: 0.667 0.333 0.869
N: 0.333 0.667 0.131
N: 0.333 0.667 0.369
Sc: 0.667 0.333 0.250
Sc: 0.333 0.667 0.750